1.
The following is a SCAN calculation of MoP2Ir at its PBEsol-relaxed geometry, from Alexandria.

Geometry as POSCAR:
```
MoP2Ir
1.0
-2.2499 -1.4991 -0.9493
2.0007 -1.7612 1.0517
-3.0483 0.4383 6.5327
Ir P Mo
1 2 1
Direct
0.5000 0.5000 0.5000
0.0000 0.0000 0.2519
0.0000 0.0000 0.7481
0.5000 0.5000 0.0000
```

Properties
**Excess energy over the best structure of this formula in the dataset**: 0.365 eV/atom
**Symmetry**: Cmmm

***

2.
The following is a SCAN calculation of MoP2Ir at its PBEsol-relaxed geometry, from Alexandria.

Geometry as POSCAR:
```
MoP2Ir
1.0
2.8780 0.0000 0.0000
-1.4390 3.8409 0.0154
0.0000 -1.2871 4.8916
P Mo Ir
2 1 1
Direct
0.2520 0.5040 0.2357
0.7480 0.4960 0.7643
0.5000 0.0000 0.0000
0.0000 0.0000 0.5000
```

Properties
**Excess energy over the best structure of this formula in the dataset**: 0.000 eV/atom
**Symmetry**: C2/m

***

3.
The following is a SCAN calculation of Mo2PIr at its PBEsol-relaxed geometry, from Alexandria.

Geometry as POSCAR:
```
Mo2PIr
1.0
-2.9077 1.4001 1.6184
-1.9285 -0.5309 -3.0056
-1.1118 -3.9374 1.4089
P Mo Ir
1 2 1
Direct
0.5000 0.5000 0.5000
0.5000 0.0000 0.0000
0.0000 0.5000 0.0000
0.0000 0.0000 0.5000
```

Properties
**Symmetry**: P4/mmm
**Final energy**: -150.914 eV for the cell shown

***

4.
The following is a SCAN calculation of Mo2IrPb at its PBEsol-relaxed geometry, from Alexandria.

Geometry as POSCAR:
```
Mo2IrPb
1.0
2.9955 0.0000 0.0000
-1.4977 4.7291 0.0300
0.0000 -1.1695 4.7729
Pb Ir Mo
1 1 2
Direct
0.5024 0.0049 0.5121
0.7349 0.4697 0.1976
0.9948 0.9897 0.0181
0.2678 0.5357 0.7722
```

Properties
**Symmetry**: Cm
**Final energy**: -214.756 eV for the cell shown

***

5.
The following is a SCAN calculation of MoIr2Pb at its PBEsol-relaxed geometry, from Alexandria.

Geometry as POSCAR:
```
MoIr2Pb
1.0
4.0418 0.0000 0.0000
0.0000 4.0418 0.0000
-2.0209 -2.0209 3.9573
Ir Pb Mo
2 1 1
Direct
0.2500 0.7500 0.5000
0.7500 0.2500 0.5000
0.0000 0.0000 0.0000
0.5000 0.5000 0.0000
```

Properties
**Symmetry**: I4/mmm
**Final energy**: -251.360 eV for the cell shown

***

6.
The following is a SCAN calculation of MoIr2Pb at its PBEsol-relaxed geometry, from Alexandria.

Geometry as POSCAR:
```
MoIr2Pb
1.0
-1.1891 -1.4930 2.1995
2.0091 -4.0707 -1.6772
3.1333 2.0355 3.0756
Ir Mo Pb
2 1 1
Direct
0.0000 0.5000 0.0000
0.0000 0.0000 0.5000
0.5000 0.0000 0.0000
0.5000 0.5000 0.5000
```

Properties
**Symmetry**: Cmmm
**Final energy**: -251.048 eV for the cell shown

***

7.
The following is a SCAN calculation of Mo2IrPb at its PBEsol-relaxed geometry, from Alexandria.

Geometry as POSCAR:
```
Mo2IrPb
1.0
-0.3104 -2.3266 -1.5818
0.3495 -2.2660 3.2644
-6.0483 0.6141 1.0738
Mo Ir Pb
2 1 1
Direct
0.9675 0.0000 0.2992
0.0325 0.0000 0.7008
0.5000 0.5000 0.5000
0.5000 0.5000 0.0000
```

Properties
**Symmetry**: P2/m
**Final energy**: -215.165 eV for the cell shown

***

8.
The following is a SCAN calculation of Mo2IrPb at its PBEsol-relaxed geometry, from Alexandria.

Geometry as POSCAR:
```
Mo2IrPb
1.0
2.9010 0.0000 0.0000
1.4505 2.5123 0.0000
1.4505 0.8374 9.2918
Pb Mo Ir
1 2 1
Direct
0.5000 0.5000 0.5000
0.2569 0.2569 0.2292
0.7431 0.7431 0.7708
0.0000 0.0000 0.0000
```

Properties
**Symmetry**: R-3m
**Final energy**: -214.534 eV for the cell shown

***

Number 1: D(E_F) 2.6 states/eV/cell. Number 2: D(E_F) 2.3 states/eV/cell. Number 3: D(E_F) 2.4 states/eV/cell. Number 4: D(E_F) 3.6 states/eV/cell. Number 5: D(E_F) 1.6 states/eV/cell. Number 6: D(E_F) 3.2 states/eV/cell. Number 7: D(E_F) 3.0 states/eV/cell. Number 8: D(E_F) 2.8 states/eV/cell.